Computed, not measured: HfZnCr2Cl after structural relaxation at the PBE level of DFT.

## Properties
Fermi-level density of states (states/eV per atom): 0.863
Formation energy without anion corrections (eV per atom): 1.0435

a b c (Å): 5.1478 5.1478 4.8172
angles (deg): 90.00 90.00 90.00
Closest atoms and distances in Å follow each position.
Space group P4/mmm (No. 123)
Unique sites:
1 Hf 0.0000 0.0000 0.0000 (multiplicity 1)  2 Cl 2.41, 4 Cr 2.57
2 Zn 0.5000 0.5000 0.5000 (multiplicity 1)  8 Cr 3.53, 4 Cl 3.64
3 Cr 0.0000 0.5000 0.0000 (multiplicity 2)  2 Hf 2.57
4 Cl 0.0000 0.0000 0.5000 (multiplicity 1)  2 Hf 2.41

Computed, not measured: BaDy2Tl after structural relaxation at the PBE level of DFT.

## Properties
Fermi-level density of states (states/eV per atom): 0.976
Energy of formation from the pure elements (eV/atom): -0.030

a b c (Å): 3.7440 3.7440 10.0789
angles (deg): 90.00 90.00 90.00
Closest atoms and distances in Å follow each position.
Space group P4/mmm (No. 123)
Unique sites:
1 Ba 0.0000 0.0000 0.0000 (multiplicity 1)  4 Ba 3.74, 8 Dy 4.07
2 Dy 0.5000 0.5000 0.3068 (multiplicity 2)  4 Tl 3.29
3 Tl 0.0000 0.0000 0.5000 (multiplicity 1)  8 Dy 3.29